Compound: RbNd2MnO5
Source: the Alexandria database
Functional: PBE+U
Structure: relaxed

Cell: 7.169 6.648 7.609 Å, 115.90 118.10 90.00°
Fractional positions:
O (0.721, 0.260, 0.741)
O (0.000, 0.000, 0.000)
O (0.779, 0.019, 0.259)
O (0.500, 0.500, 0.000)
O (0.021, 0.481, 0.741)
O (0.979, 0.519, 0.259)
O (0.521, 0.760, 0.741)
O (0.479, 0.240, 0.259)
O (0.279, 0.740, 0.259)
O (0.221, 0.981, 0.741)
Nd (0.829, 0.693, 0.000)
Nd (0.329, 0.807, 0.000)
Nd (0.671, 0.193, 0.000)
Nd (0.171, 0.307, 0.000)
Rb (0.750, 0.750, 0.500)
Rb (0.250, 0.250, 0.500)
Mn (0.750, 0.250, 0.500)
Mn (0.250, 0.750, 0.500)

Properties
Size of the total moment = 0.444 μB per atom
Energy = -64.82 eV/f.u.